Here is crystalline SrV3O7 at its relaxed geometry from Alexandria via LeMat-Bulk. Energies are from PBE+U.

It has space group Pmmn (No. 59, origin choice 2), with a = 5.375 Å, b = 10.601 Å, c = 5.639 Å, α = 90.00°, β = 90.00° and γ = 90.00°. The distinct sites, in fractional coordinates, are Sr at (0.250, 0.250, 0.147), V at (0.250, 0.020, 0.619), V at (0.250, 0.750, 0.419), O at (0.014, 0.620, 0.546), O at (0.250, 0.059, 0.903) and O at (0.250, 0.750, 0.125).

The raw total energy is -7.5892 eV/atom. As for the calculated density: 3.6 g/cm³. The offset from the most stable computed form is 4 meV per atom. The size of the total moment is 3.0 μB/f.u.